A geometry-optimized CoRh structure. Source: Alexandria, functional PBE.

Lattice parameters (Å, degrees): 4.0622 4.0622 4.8404 90.00 90.00 120.00
Fractional coordinates of all 4 atoms:
Co 0.3333 0.6667 0.2500
Co 0.6667 0.3333 0.7500
Rh 0.3333 0.6667 0.7500
Rh 0.6667 0.3333 0.2500

Summary:
* volume: 69 Å³/cell
* uncorrected energy: -6.280 eV/atom